This record from Alexandria describes a relaxed structure of TbMn3B4O12. The functional is PBE with a Hubbard U.

```
data_TbMn3B4O12
_chemical_formula_sum 'Tb3 Mn9 B12 O36'
_symmetry_space_group_name_H-M 'R 3 2'
_symmetry_Int_Tables_number 155
_symmetry_space_group_name_Hall 'R 3 2"'
_cell_length_a 9.6680
_cell_length_b 9.6680
_cell_length_c 7.7714
_cell_angle_alpha 90.00
_cell_angle_beta 90.00
_cell_angle_gamma 120.00
loop_
_atom_site_label
_atom_site_fract_x
_atom_site_fract_y
_atom_site_fract_z
Tb1 0.0000 0.0000 0.0000
Mn1 0.0000 0.5461 0.0000
B1 0.0000 0.0000 0.5000
B2 0.0000 0.4519 0.5000
O1 0.0000 0.5959 0.5000
O2 0.0000 0.8569 0.5000
O3 0.0186 0.2052 0.1800
```

Values from the calculation:
Final energy: -7.900 eV per atom
Crystal system: trigonal